(1)
# SCAN Sc5Ag, single point on PBEsol structure
# magnetic moment	0.01	μB/f.u.
# total energy	-17.11	eV per atom
# formation enthalpy at 0 K	-0.018	eV per atom
data_Sc5Ag
_cell_length_a 7.280
_cell_length_b 7.280
_cell_length_c 4.451
_cell_angle_alpha 90.00
_cell_angle_beta 90.00
_cell_angle_gamma 146.51
_symmetry_space_group_name_H-M 'P 1'
_symmetry_Int_Tables_number 1
loop_
_symmetry_equiv_pos_as_xyz
'x,y,z'
loop_
_atom_site_label
_atom_site_type_symbol
_atom_site_fract_x
_atom_site_fract_y
_atom_site_fract_z
Sc1 Sc 0.000 0.000 0.000
Sc2 Sc 0.159 0.841 0.500
Sc3 Sc 0.329 0.671 0.000
Sc4 Sc 0.671 0.329 0.000
Sc5 Sc 0.841 0.159 0.500
Ag1 Ag 0.500 0.500 0.500

***

(2)
# SCAN DyIn6Cu6, single point on PBEsol structure
# magnetic moment	0.00	μB/f.u.
# total energy	-26.28	eV per atom
# formation enthalpy at 0 K	-0.176	eV per atom
data_DyIn6Cu6
_cell_length_a 6.964
_cell_length_b 6.964
_cell_length_c 6.964
_cell_angle_alpha 134.97
_cell_angle_beta 98.84
_cell_angle_gamma 98.02
_symmetry_space_group_name_H-M 'P 1'
_symmetry_Int_Tables_number 1
loop_
_symmetry_equiv_pos_as_xyz
'x,y,z'
loop_
_atom_site_label
_atom_site_type_symbol
_atom_site_fract_x
_atom_site_fract_y
_atom_site_fract_z
Dy1 Dy 0.000 0.000 0.000
In1 In 0.181 0.681 0.500
In2 In 0.337 0.000 0.337
In3 In 0.342 0.342 0.000
In4 In 0.658 0.658 0.000
In5 In 0.663 0.000 0.663
In6 In 0.819 0.319 0.500
Cu1 Cu 0.000 0.000 0.500
Cu2 Cu 0.000 0.500 0.000
Cu3 Cu 0.237 0.500 0.737
Cu4 Cu 0.500 0.000 0.000
Cu5 Cu 0.500 0.500 0.500
Cu6 Cu 0.763 0.500 0.263

***

(3)
# SCAN Ta5Mo, single point on PBEsol structure
# magnetic moment	0.00	μB/f.u.
# total energy	-61.35	eV per atom
# formation enthalpy at 0 K	-0.052	eV per atom
data_Ta5Mo
_cell_length_a 2.830
_cell_length_b 4.581
_cell_length_c 7.955
_cell_angle_alpha 90.00
_cell_angle_beta 90.27
_cell_angle_gamma 90.00
_symmetry_space_group_name_H-M 'P 1'
_symmetry_Int_Tables_number 1
loop_
_symmetry_equiv_pos_as_xyz
'x,y,z'
loop_
_atom_site_label
_atom_site_type_symbol
_atom_site_fract_x
_atom_site_fract_y
_atom_site_fract_z
Ta1 Ta 0.000 0.000 0.000
Ta2 Ta 0.309 0.000 0.337
Ta3 Ta 0.326 0.500 0.830
Ta4 Ta 0.674 0.500 0.170
Ta5 Ta 0.691 0.000 0.663
Mo1 Mo 0.000 0.500 0.500

***

Which value of total energy does entry 2 give? -26.28 eV per atom

***

formation enthalpy at 0 K of number 1 (Sc5Ag)? -0.018 eV per atom